[1]
Material: CeZn13
Method: DFT, PBE
State: optimized geometry

Cell lengths 8.608, 8.608, 8.608 Å; angles 60.00, 60.00, 60.00 degrees
Atoms (fractional coordinates):
Ce 0.250 0.250 0.250
Ce 0.750 0.750 0.750
Zn 0.000 0.000 0.000
Zn 0.058 0.301 0.699
Zn 0.058 0.699 0.942
Zn 0.058 0.942 0.301
Zn 0.199 0.442 0.801
Zn 0.199 0.558 0.442
Zn 0.199 0.801 0.558
Zn 0.301 0.058 0.942
Zn 0.301 0.699 0.058
Zn 0.301 0.942 0.699
Zn 0.442 0.199 0.558
Zn 0.442 0.558 0.801
Zn 0.442 0.801 0.199
Zn 0.500 0.500 0.500
Zn 0.558 0.199 0.801
Zn 0.558 0.442 0.199
Zn 0.558 0.801 0.442
Zn 0.699 0.058 0.301
Zn 0.699 0.301 0.942
Zn 0.699 0.942 0.058
Zn 0.801 0.199 0.442
Zn 0.801 0.442 0.558
Zn 0.801 0.558 0.199
Zn 0.942 0.058 0.699
Zn 0.942 0.301 0.058
Zn 0.942 0.699 0.301

Properties
Its space group is Fm-3c, No. 226. For the formation energy, the calculation gives -14.1 kJ/mol of atoms.

***

[2]
Material: Tb6Pr3Ho2Sc
Method: DFT, PBE
State: optimized geometry

Cell lengths 6.191, 6.191, 11.820 Å; angles 95.00, 95.00, 120.00 degrees
Atoms (fractional coordinates):
Tb 0.080 0.411 0.242
Tb 0.250 0.250 0.757
Tb 0.411 0.080 0.242
Tb 0.589 0.920 0.758
Tb 0.750 0.750 0.243
Tb 0.920 0.589 0.758
Pr 0.167 0.833 0.500
Pr 0.500 0.500 0.500
Pr 0.833 0.167 0.500
Ho 0.334 0.666 0.000
Ho 0.666 0.334 0.000
Sc 0.000 0.000 0.000

Properties
Its space group is C2/m, No. 12. For the formation energy, the calculation gives 3.0 kJ/mol of atoms.

***

[3]
Material: DyBiPd4
Method: DFT, PBE
State: optimized geometry

Cell lengths 5.447, 5.447, 5.447 Å; angles 60.00, 60.00, 60.00 degrees
Atoms (fractional coordinates):
Dy 0.000 0.000 0.000
Bi 0.250 0.250 0.250
Pd 0.123 0.626 0.626
Pd 0.626 0.123 0.626
Pd 0.626 0.626 0.123
Pd 0.626 0.626 0.626

Properties
Its space group is F-43m, No. 216. For the formation energy, the calculation gives -51.7 kJ/mol of atoms. The calculation puts the excess energy over the best structure of this formula in the dataset at 44 meV per atom.

***

[4]
Material: Mg2NiGePb
Method: DFT, PBE
State: optimized geometry

Cell lengths 5.284, 5.284, 5.522 Å; angles 90.00, 90.00, 90.00 degrees
Atoms (fractional coordinates):
Mg 0.000 0.500 0.000
Mg 0.500 0.000 0.000
Ni 0.000 0.000 0.500
Ge 0.500 0.500 0.500
Pb 0.500 0.500 0.000

Properties
Its space group is P4/mmm, No. 123. For the formation energy, the calculation gives 109.0 kJ/mol of atoms.

***

[5]
Material: DyTiGa
Method: DFT, PBE
State: optimized geometry

Cell lengths 4.105, 4.105, 7.714 Å; angles 90.00, 90.00, 90.00 degrees
Atoms (fractional coordinates):
Dy 0.250 0.250 0.158
Dy 0.750 0.750 0.842
Ti 0.250 0.750 0.500
Ti 0.750 0.250 0.500
Ga 0.250 0.250 0.742
Ga 0.750 0.750 0.258

Properties
Its space group is P4/nmm, No. 129. For the formation energy, the calculation gives -38.4 kJ/mol of atoms. The calculation puts the excess energy over the best structure of this formula in the dataset at 0 meV per atom.

***

[6]
Material: K3Na4Pb
Method: DFT, PBE
State: optimized geometry

Cell lengths 7.996, 7.996, 7.996 Å; angles 125.72, 98.01, 106.07 degrees
Atoms (fractional coordinates):
K 0.000 0.000 0.000
K 0.044 0.731 0.313
K 0.418 0.731 0.687
Na 0.157 0.355 0.802
Na 0.552 0.355 0.198
Na 0.608 0.340 0.732
Na 0.608 0.876 0.268
Pb 0.897 0.397 0.500

Properties
Its space group is Imm2, No. 44. For the formation energy, the calculation gives -2.1 kJ/mol of atoms. The calculation puts the excess energy over the best structure of this formula in the dataset at 0 meV per atom.

***

[7]
Material: Sr2MnHg
Method: DFT, PBE
State: optimized geometry

Cell lengths 5.621, 5.621, 3.962 Å; angles 90.00, 90.00, 90.19 degrees
Atoms (fractional coordinates):
Sr 0.000 0.500 0.000
Sr 0.500 0.000 0.000
Mn 0.000 0.000 0.500
Hg 0.500 0.500 0.500

Properties
Its space group is Cmmm, No. 65. For the formation energy, the calculation gives 6.5 kJ/mol of atoms.

***

[8]
Material: MnGe3
Method: DFT, PBE
State: optimized geometry

Cell lengths 4.901, 4.901, 4.901 Å; angles 143.98, 80.01, 111.39 degrees
Atoms (fractional coordinates):
Mn 0.000 0.000 0.000
Ge 0.082 0.769 0.314
Ge 0.455 0.769 0.686
Ge 0.664 0.164 0.500

Properties
Its space group is Imm2, No. 44. For the formation energy, the calculation gives 9.7 kJ/mol of atoms.

***

[9]
Material: CeGa2Co
Method: DFT, PBE
State: optimized geometry

Cell lengths 3.043, 3.043, 7.266 Å; angles 90.00, 90.00, 90.00 degrees
Atoms (fractional coordinates):
Ce 0.000 0.000 0.000
Ga 0.500 0.500 0.314
Ga 0.500 0.500 0.686
Co 0.000 0.000 0.500

Properties
Its space group is P4/mmm, No. 123. For the formation energy, the calculation gives -33.2 kJ/mol of atoms.

***

[10]
Material: CuAg4Cl5
Method: DFT, PBE
State: optimized geometry

Cell lengths 17.899, 17.899, 17.899 Å; angles 13.18, 13.18, 13.18 degrees
Atoms (fractional coordinates):
Cu 0.000 0.000 0.000
Ag 0.199 0.199 0.199
Ag 0.393 0.393 0.393
Ag 0.602 0.602 0.602
Ag 0.796 0.796 0.796
Cl 0.150 0.150 0.150
Cl 0.345 0.345 0.345
Cl 0.553 0.553 0.553
Cl 0.748 0.748 0.748
Cl 0.956 0.956 0.956

Properties
Its space group is R3m, No. 160. The value obtained for the uncorrected formation energy is -0.41 eV per atom.

***

[11]
Material: NbCd2TcI
Method: DFT, PBE
State: optimized geometry

Cell lengths 5.444, 5.444, 4.628 Å; angles 90.00, 90.00, 90.00 degrees
Atoms (fractional coordinates):
Nb 0.000 0.000 0.000
Cd 0.000 0.500 0.500
Cd 0.500 0.000 0.500
Tc 0.000 0.000 0.500
I 0.500 0.500 0.000

Properties
Its space group is P4/mmm, No. 123. The value obtained for the uncorrected formation energy is 0.75 eV per atom.

***

[12]
Material: Sr2LiRh
Method: DFT, PBE
State: optimized geometry

Cell lengths 3.710, 3.710, 8.637 Å; angles 90.00, 90.00, 90.00 degrees
Atoms (fractional coordinates):
Sr 0.000 0.000 0.203
Sr 0.000 0.000 0.797
Li 0.500 0.500 0.500
Rh 0.500 0.500 0.000

Properties
Its space group is P4/mmm, No. 123. For the formation energy, the calculation gives -8.5 kJ/mol of atoms.

***

[13]
Material: Ba6Sr2P
Method: DFT, PBE
State: optimized geometry

Cell lengths 9.087, 9.087, 12.885 Å; angles 90.00, 90.00, 90.00 degrees
Atoms (fractional coordinates):
Ba 0.000 0.000 0.245
Ba 0.000 0.000 0.755
Ba 0.244 0.246 0.000
Ba 0.246 0.756 0.000
Ba 0.254 0.256 0.500
Ba 0.256 0.746 0.500
Ba 0.500 0.500 0.255
Ba 0.500 0.500 0.745
Ba 0.744 0.254 0.500
Ba 0.746 0.744 0.500
Ba 0.754 0.244 0.000
Ba 0.756 0.754 0.000
Sr 0.000 0.500 0.250
Sr 0.000 0.500 0.750
Sr 0.500 0.000 0.250
Sr 0.500 0.000 0.750
P 0.000 0.000 0.000
P 0.500 0.500 0.500

Properties
Its space group is P4/mnc, No. 128. For the formation energy, the calculation gives -21.6 kJ/mol of atoms.

***

[14]
Material: Rb2MgVSe4
Method: DFT, PBE
State: optimized geometry

Cell lengths 14.427, 12.944, 7.702 Å; angles 84.61, 63.28, 32.11 degrees
Atoms (fractional coordinates):
Rb 0.054 0.054 0.696
Rb 0.304 0.304 0.946
Rb 0.696 0.696 0.054
Rb 0.946 0.946 0.304
Mg 0.125 0.125 0.125
Mg 0.875 0.875 0.875
V 0.375 0.375 0.375
V 0.625 0.625 0.625
Se 0.001 0.357 0.445
Se 0.302 0.555 0.643
Se 0.357 0.001 0.698
Se 0.445 0.698 0.001
Se 0.555 0.302 0.999
Se 0.643 0.999 0.302
Se 0.698 0.445 0.357
Se 0.999 0.643 0.555

Properties
Its space group is Fddd, No. 70. The value obtained for the uncorrected formation energy is -1.04 eV per atom.

***

[15]
Material: Ce3Al
Method: DFT, PBE
State: optimized geometry

Cell lengths 6.327, 6.327, 6.327 Å; angles 150.70, 62.15, 126.52 degrees
Atoms (fractional coordinates):
Ce 0.000 0.000 0.000
Ce 0.496 0.718 0.777
Ce 0.941 0.718 0.223
Al 0.486 0.986 0.500

Properties
Its space group is Imm2, No. 44. For the formation energy, the calculation gives -13.7 kJ/mol of atoms. The calculation puts the excess energy over the best structure of this formula in the dataset at 21 meV per atom.

***

[16]
Material: MgBeRu2
Method: DFT, PBE
State: optimized geometry

Cell lengths 2.898, 2.898, 6.340 Å; angles 90.00, 90.00, 90.00 degrees
Atoms (fractional coordinates):
Mg 0.000 0.000 0.000
Be 0.000 0.000 0.500
Ru 0.500 0.500 0.301
Ru 0.500 0.500 0.699

Properties
Its space group is P4/mmm, No. 123. For the formation energy, the calculation gives -2.7 kJ/mol of atoms.

***

[17]
Material: Hg2MoCl8
Method: DFT, PBE
State: optimized geometry

Cell lengths 7.561, 7.561, 7.036 Å; angles 102.62, 102.62, 90.21 degrees
Atoms (fractional coordinates):
Hg 0.182 0.182 0.092
Hg 0.818 0.818 0.908
Mo 0.500 0.500 0.500
Cl 0.027 0.027 0.757
Cl 0.191 0.510 0.305
Cl 0.386 0.386 0.732
Cl 0.490 0.809 0.695
Cl 0.510 0.191 0.305
Cl 0.614 0.614 0.268
Cl 0.809 0.490 0.695
Cl 0.973 0.973 0.243

Properties
Its space group is C2/m, No. 12. The value obtained for the uncorrected formation energy is -0.66 eV per atom.

***

[18]
Material: La5TbSm4
Method: DFT, PBE
State: optimized geometry

Cell lengths 3.716, 3.716, 25.581 Å; angles 90.00, 90.00, 90.00 degrees
Atoms (fractional coordinates):
La 0.000 0.000 0.000
La 0.000 0.000 0.201
La 0.000 0.000 0.402
La 0.000 0.000 0.598
La 0.000 0.000 0.799
Tb 0.500 0.500 0.500
Sm 0.500 0.500 0.101
Sm 0.500 0.500 0.302
Sm 0.500 0.500 0.698
Sm 0.500 0.500 0.899

Properties
Its space group is P4/mmm, No. 123. For the formation energy, the calculation gives 2.0 kJ/mol of atoms. The calculation puts the excess energy over the best structure of this formula in the dataset at 3 meV per atom.

***

[19]
Material: Tm2LuH
Method: DFT, PBE
State: optimized geometry

Cell lengths 8.506, 8.506, 8.506 Å; angles 23.97, 23.97, 23.97 degrees
Atoms (fractional coordinates):
Tm 0.221 0.221 0.221
Tm 0.779 0.779 0.779
Lu 0.000 0.000 0.000
H 0.500 0.500 0.500

Properties
Its space group is R-3m, No. 166. The calculation puts the excess energy over the best structure of this formula in the dataset at 0 meV per atom.

***

[20]
Material: Mg2Be2InRh5
Method: DFT, PBE
State: optimized geometry

Cell lengths 9.612, 9.612, 3.110 Å; angles 90.00, 90.00, 90.00 degrees
Atoms (fractional coordinates):
Mg 0.175 0.325 0.000
Mg 0.325 0.825 0.000
Mg 0.675 0.175 0.000
Mg 0.825 0.675 0.000
Be 0.122 0.622 0.000
Be 0.378 0.122 0.000
Be 0.622 0.878 0.000
Be 0.878 0.378 0.000
In 0.000 0.000 0.000
In 0.500 0.500 0.000
Rh 0.000 0.500 0.500
Rh 0.072 0.783 0.500
Rh 0.217 0.072 0.500
Rh 0.283 0.572 0.500
Rh 0.428 0.283 0.500
Rh 0.500 0.000 0.500
Rh 0.572 0.717 0.500
Rh 0.717 0.428 0.500
Rh 0.783 0.928 0.500
Rh 0.928 0.217 0.500

Properties
Its space group is P4/mbm, No. 127. For the formation energy, the calculation gives -47.7 kJ/mol of atoms.

***

[21]
Material: ScCdBr2
Method: DFT, PBE
State: optimized geometry

Cell lengths 3.841, 3.841, 11.101 Å; angles 90.00, 90.00, 123.32 degrees
Atoms (fractional coordinates):
Sc 0.000 0.000 0.000
Cd 0.000 0.000 0.500
Br 0.500 0.500 0.174
Br 0.500 0.500 0.826

Properties
Its space group is Cmmm, No. 65. The calculation puts the excess energy over the best structure of this formula in the dataset at 179 meV per atom. The value obtained for the uncorrected formation energy is -0.83 eV per atom.

***

[22]
Material: SrAs2HSe
Method: DFT, PBE
State: optimized geometry

Cell lengths 4.181, 4.181, 5.930 Å; angles 90.00, 90.00, 90.00 degrees
Atoms (fractional coordinates):
Sr 0.000 0.000 0.000
As 0.000 0.500 0.500
As 0.500 0.000 0.500
H 0.500 0.500 0.500
Se 0.500 0.500 0.000

Properties
Its space group is P4/mmm, No. 123. The calculation puts the excess energy over the best structure of this formula in the dataset at 0 meV per atom.

***

[23]
Material: Mn2CrCl8
Method: DFT, PBE
State: optimized geometry

Cell lengths 8.008, 8.008, 6.135 Å; angles 90.70, 90.70, 54.15 degrees
Atoms (fractional coordinates):
Mn 0.152 0.152 0.081
Mn 0.848 0.848 0.919
Cr 0.000 0.000 0.500
Cl 0.144 0.144 0.704
Cl 0.159 0.711 0.729
Cl 0.289 0.841 0.271
Cl 0.304 0.304 0.136
Cl 0.696 0.696 0.864
Cl 0.711 0.159 0.729
Cl 0.841 0.289 0.271
Cl 0.856 0.856 0.296

Properties
Its space group is C2/m, No. 12. The value obtained for the uncorrected formation energy is -0.95 eV per atom.

***

[24]
Material: CaYOs2
Method: DFT, PBE
State: optimized geometry

Cell lengths 3.039, 3.039, 9.280 Å; angles 90.00, 90.00, 90.00 degrees
Atoms (fractional coordinates):
Ca 0.000 0.000 0.000
Y 0.500 0.500 0.633
Os 0.000 0.000 0.403
Os 0.500 0.500 0.239

Properties
Its space group is P4mm, No. 99. For the formation energy, the calculation gives 22.6 kJ/mol of atoms.

***

Calculated values (states/eV/atom) of Fermi-level density of states for the records, taken in order: 0.768, 1.410, 0.963, 0.527, 1.224, 0.428, 0.671, 0.356, 1.042, 0.009, 0.651, 0.598, 1.379, 0.424, 2.409, 0.865, 0.575, 1.815, 0.799, 0.427, 0.422, 0.572, 0.954, 0.858.
Calculated values (A^3/atom) of calculated volume for the records, taken in order: 16.11, 32.19, 19.05, 30.84, 21.67, 46.00, 31.30, 15.71, 16.82, 25.92, 27.43, 29.73, 59.12, 33.99, 24.69, 13.31, 34.77, 35.32, 22.32, 14.37, 34.21, 20.73, 28.99, 21.42.